Record 1
Density functional theory data (PBEsol) for crystalline LuBi3O6 at its relaxed geometry.

POSCAR file:
```
LuBi3O6
1.0
5.010 2.893 3.708
-5.010 2.893 3.708
0.000 -5.785 3.708
Lu Bi O
2 6 12
Cartesian
0.000 0.000 0.000
0.000 0.000 5.562
-3.474 -0.973 5.130
-0.894 -3.495 5.994
-2.580 2.522 5.994
2.580 -2.522 5.130
0.894 3.495 5.130
3.474 0.973 5.994
-3.328 -3.123 6.032
-4.368 1.321 5.092
-1.191 -1.450 4.416
1.040 -4.444 5.092
-0.660 1.757 4.416
-1.851 0.307 6.708
1.851 -0.306 4.416
0.660 -1.757 6.708
-1.040 4.444 6.032
1.191 1.450 6.708
4.368 -1.321 6.032
3.328 3.123 5.092
```

Summary:
**Fermi-level density of states**: 0.00 states/eV/f.u.
**Spin magnetization**: 0.00 μB/cell
**Energy relative to the elements, uncorrected**: -1.827 eV/atom

Record 2
Density functional theory data (PBEsol) for crystalline Sr3Si at its relaxed geometry.

POSCAR file:
```
Sr3Si
1.0
10.211 0.000 0.000
0.000 13.735 0.000
0.000 0.000 4.555
Sr Si
12 4
Cartesian
0.000 1.671 1.139
0.000 12.064 3.416
1.865 5.048 1.139
1.865 8.687 3.416
3.241 1.819 3.416
3.241 11.916 1.139
5.106 5.196 3.416
5.106 8.539 1.139
6.971 1.819 3.416
6.971 11.916 1.139
8.346 5.048 1.139
8.346 8.687 3.416
0.000 3.838 3.416
0.000 9.897 1.139
5.106 3.029 1.139
5.106 10.706 3.416
```

Summary:
**Fermi-level density of states**: 2.44 states/eV/f.u.
**ΔE to the lowest computed polymorph**: 0.00 eV/f.u.
**Spin magnetization**: 0.00 μB/cell
**Energy relative to the elements, uncorrected**: -0.180 eV/atom

Record 3
Density functional theory data (PBEsol) for crystalline NdGa6Fe6 at its relaxed geometry.

POSCAR file:
```
NdGa6Fe6
1.0
-2.484 4.206 4.283
2.484 -4.206 4.283
2.484 4.206 -4.283
Nd Ga Fe
1 6 6
Cartesian
0.000 0.000 0.000
2.484 0.000 1.623
0.000 2.835 0.000
0.000 0.000 2.967
0.000 0.000 5.599
0.000 5.577 0.000
0.000 4.206 2.660
1.242 2.103 -2.142
1.242 -2.103 2.142
2.484 2.049 0.000
-1.242 2.103 2.142
1.242 2.103 2.142
0.000 2.156 4.283
```

Summary:
**DFT formation energy**: -311.7 meV per atom
**Fermi-level density of states**: 8.60 states/eV/f.u.
**Spin magnetization**: 10.59 μB/cell

Record 4
Density functional theory data (PBEsol) for crystalline IrRh2 at its relaxed geometry.

POSCAR file:
```
IrRh2
1.0
2.700 0.000 0.000
0.000 13.983 0.000
0.000 0.000 4.356
Ir Rh
4 8
Cartesian
0.000 3.104 1.089
0.000 10.879 3.267
1.350 3.888 3.267
1.350 10.095 1.089
0.000 1.546 3.267
0.000 6.217 3.267
0.000 7.766 1.089
0.000 12.437 1.089
1.350 0.775 1.089
1.350 5.446 1.089
1.350 8.538 3.267
1.350 13.208 3.267
```

Summary:
**DFT formation energy**: 32.7 meV per atom
**Fermi-level density of states**: 4.06 states/eV/f.u.
**ΔE to the lowest computed polymorph**: 0.18 eV/f.u.
**Spin magnetization**: 0.00 μB/cell

Record 5
Density functional theory data (PBEsol) for crystalline Pr3TaCl3O6 at its relaxed geometry.

POSCAR file:
```
Pr3TaCl3O6
1.0
9.391 0.000 0.000
-4.695 8.132 0.000
0.000 0.000 5.274
Pr Ta Cl O
6 2 6 12
Cartesian
-2.379 5.610 1.318
1.026 3.267 1.318
3.343 0.745 3.955
1.352 7.387 1.318
3.669 4.865 3.955
7.074 2.523 3.955
0.000 5.422 3.955
4.695 2.711 1.318
-3.329 6.610 3.955
0.635 1.945 3.955
2.002 0.422 1.318
2.693 7.710 3.955
4.060 6.188 1.318
8.024 1.522 1.318
-0.961 4.223 2.698
-0.961 4.223 5.212
-0.557 6.853 2.698
-0.557 6.853 5.212
1.518 5.189 2.698
1.518 5.189 5.212
3.177 2.944 0.061
3.177 2.944 2.575
5.253 1.280 0.061
5.253 1.280 2.575
5.656 3.909 0.061
5.656 3.909 2.575
```

Summary:
**Fermi-level density of states**: 6.12 states/eV/f.u.
**Spin magnetization**: 1.77 μB/cell
**Energy relative to the elements, uncorrected**: -2.867 eV/atom

Record 6
Density functional theory data (PBEsol) for crystalline GeBIO2 at its relaxed geometry.

POSCAR file:
```
GeBIO2
1.0
3.760 0.000 0.000
0.000 3.760 0.000
0.000 0.000 4.553
Ge B I O
1 1 1 2
Cartesian
0.000 0.000 0.000
1.880 1.880 2.277
1.880 1.880 0.000
0.000 1.880 2.277
1.880 0.000 2.277
```

Summary:
**Fermi-level density of states**: 1.21 states/eV/f.u.
**Spin magnetization**: 0.00 μB/cell
**Energy relative to the elements, uncorrected**: 0.383 eV/atom

Record 7
Density functional theory data (PBEsol) for crystalline Ce3Si4Pd4 at its relaxed geometry.

POSCAR file:
```
Ce3Si4Pd4
1.0
-1.985 2.078 12.351
1.985 -2.078 12.351
1.985 2.078 -12.351
Ce Si Pd
3 4 4
Cartesian
0.000 0.000 0.000
1.985 0.000 8.766
0.000 2.078 3.586
1.985 0.000 4.812
0.000 0.000 11.174
0.000 0.000 13.529
0.000 2.078 7.539
1.985 0.000 2.392
0.000 0.000 6.184
0.000 0.000 18.519
0.000 2.078 9.959
```

Summary:
**Fermi-level density of states**: 12.80 states/eV/f.u.
**Spin magnetization**: 0.38 μB/cell
**Energy relative to the elements, uncorrected**: -0.910 eV/atom

Record 8
Density functional theory data (PBEsol) for crystalline AsPbAu at its relaxed geometry.

POSCAR file:
```
AsPbAu
1.0
4.341 0.000 0.000
-2.171 3.760 0.000
0.000 0.000 4.307
As Pb Au
1 1 1
Cartesian
0.000 0.000 0.000
2.171 1.253 2.182
0.000 2.507 0.354
```

Summary:
**DFT formation energy**: -45.8 meV per atom
**Fermi-level density of states**: 0.71 states/eV/f.u.
**ΔE to the lowest computed polymorph**: 0.00 eV/f.u.
**Spin magnetization**: 0.00 μB/cell